# 1
The following is a DFT calculation (GGA-PBE) of ErTi2Ge2 after structural relaxation.

It has space group C2/c (No. 15), with a = 8.6775 Å, b = 10.4286 Å, c = 5.5390 Å, α = 90.00°, β = 122.81° and γ = 90.00°. The inequivalent atoms are Er at (0.0000, 0.1126, 0.2500), Ti at (0.1646, 0.3942, 0.9765), Ge at (0.0000, 0.1736, 0.7500) and Ge at (0.0000, 0.3855, 0.2500).

As for the total energy: -125.258 eV for the cell shown. The formation enthalpy at 0 K comes out at -0.35 eV per atom.

***

# 2
The following is a DFT calculation (GGA-PBE) of Sr2ZnNiBr after structural relaxation.

It has space group P4/mmm (No. 123), with a = 5.7704 Å, b = 5.7704 Å, c = 4.5674 Å, α = 90.00°, β = 90.00° and γ = 90.00°. The inequivalent atoms are Sr at (0.0000, 0.5000, 0.0000), Zn at (0.0000, 0.0000, 0.5000), Ni at (0.0000, 0.0000, 0.0000) and Br at (0.5000, 0.5000, 0.5000).

As for the total energy: -14.758 eV for the cell shown. The uncorrected formation energy comes out at -0.53 eV/atom.

***

# 3
The following is a DFT calculation (GGA-PBE) of IrPtN2O after structural relaxation.

It has space group P4/mmm (No. 123), with a = 3.7736 Å, b = 3.7736 Å, c = 4.3091 Å, α = 90.00°, β = 90.00° and γ = 90.00°. The inequivalent atoms are Ir at (0.0000, 0.0000, 0.0000), Pt at (0.5000, 0.5000, 0.5000), N at (0.0000, 0.5000, 0.0000) and O at (0.0000, 0.0000, 0.5000).

As for the total energy: -30.103 eV for the cell shown. The uncorrected formation energy comes out at 1.28 eV/atom.

***

# 4
The following is a DFT calculation (GGA-PBE) of UTcIrPt after structural relaxation.

It has space group Pmmm (No. 47), with a = 3.9038 Å, b = 4.0436 Å, c = 4.2366 Å, α = 90.00°, β = 90.00° and γ = 90.00°. The inequivalent atoms are U at (0.0000, 0.0000, 0.0000), Tc at (0.5000, 0.5000, 0.0000), Ir at (0.5000, 0.0000, 0.5000) and Pt at (0.0000, 0.5000, 0.5000).

As for the total energy: -38.871 eV for the cell shown. The formation enthalpy at 0 K comes out at -0.58 eV per atom.

***

# 5
The following is a DFT calculation (GGA-PBE) of MgRe2Br after structural relaxation.

It has space group R-3m (No. 166, hexagonal axes), with a = 2.8941 Å, b = 2.8941 Å, c = 27.6726 Å, α = 90.00°, β = 90.00° and γ = 120.00°. The inequivalent atoms are Mg at (0.0000, 0.0000, 0.0000), Re at (0.0000, 0.0000, 0.2485) and Br at (0.0000, 0.0000, 0.5000).

As for the total energy: -73.160 eV for the cell shown. The uncorrected formation energy comes out at 0.94 eV/atom. The calculation puts the energy above the most stable polymorph in this dataset at 789 meV per atom.

***

# 6
The following is a DFT calculation (GGA-PBE) of YTlN2 after structural relaxation.

It has space group I-42d (No. 122), with a = 5.2290 Å, b = 5.2290 Å, c = 10.7679 Å, α = 90.00°, β = 90.00° and γ = 90.00°. The inequivalent atoms are Y at (0.0000, 0.0000, 0.0000), Tl at (0.0000, 0.0000, 0.5000) and N at (0.2445, 0.2500, 0.1250).

As for the total energy: -106.060 eV for the cell shown. The uncorrected formation energy comes out at -0.26 eV/atom. The calculation puts the energy above the most stable polymorph in this dataset at 4 meV per atom.

***

Repeat the first record exactly.
The following is a DFT calculation (GGA-PBE) of ErTi2Ge2 after structural relaxation.

It has space group C2/c (No. 15), with a = 8.6775 Å, b = 10.4286 Å, c = 5.5390 Å, α = 90.00°, β = 122.81° and γ = 90.00°. The inequivalent atoms are Er at (0.0000, 0.1126, 0.2500), Ti at (0.1646, 0.3942, 0.9765), Ge at (0.0000, 0.1736, 0.7500) and Ge at (0.0000, 0.3855, 0.2500).

As for the total energy: -125.258 eV for the cell shown. The formation enthalpy at 0 K comes out at -0.35 eV per atom.